No. 1
# Ta2AsPb

A relaxed structure of Ta2AsPb (PBE-GGA, Alexandria via LeMat-Bulk).

Unit cell a=3.2318 b=3.2318 c=26.0276 alpha=90.00 beta=90.00 gamma=120.00
Space group R-3m (No. 166, hexagonal axes)
Unique sites:
Ta (0.0000, 0.0000, 0.2396) (multiplicity 6)
As (0.0000, 0.0000, 0.5000) (multiplicity 3)
Pb (0.0000, 0.0000, 0.0000) (multiplicity 3)

Calculated values
offset from the most stable computed form	0.324	eV/atom
E_form	0.294	eV per atom



No. 2
# Cr2GaFe5

A relaxed structure of Cr2GaFe5 (PBE-GGA, Alexandria via LeMat-Bulk).

Unit cell a=2.5184 b=7.5739 c=9.6167 alpha=90.00 beta=90.00 gamma=90.00
Space group Immm (No. 71)
Unique sites:
Cr (0.0000, 0.0000, 0.2503) (multiplicity 4)
Ga (0.0000, 0.5000, 0.0000) (multiplicity 2)
Fe (0.0000, 0.0000, 0.0000) (multiplicity 2)
Fe (0.0000, 0.2654, 0.3732) (multiplicity 8)

Calculated values
E_form	0.155	eV per atom



No. 3
# K2SrMoS4

A relaxed structure of K2SrMoS4 (PBE-GGA, Alexandria via LeMat-Bulk).

Unit cell a=7.5202 b=7.5202 c=9.1506 alpha=90.00 beta=90.00 gamma=90.00
Space group I-4 (No. 82)
Unique sites:
K (0.0000, 0.0000, 0.0000) (multiplicity 2)
K (0.0000, 0.5000, 0.2500) (multiplicity 2)
Sr (0.0000, 0.5000, 0.7500) (multiplicity 2)
Mo (0.0000, 0.0000, 0.5000) (multiplicity 2)
S (0.1770, 0.8021, 0.6269) (multiplicity 8)

Calculated values
formation energy without anion corrections	-8.4	eV/f.u.



No. 4
# Ca7RhN6

A relaxed structure of Ca7RhN6 (PBE-GGA, Alexandria via LeMat-Bulk).

Unit cell a=6.3554 b=11.7542 c=12.3304 alpha=90.00 beta=90.00 gamma=90.00
Space group Ibam (No. 72)
Unique sites:
Ca (0.0000, 0.0000, 0.2500) (multiplicity 4)
Ca (0.1310, 0.2816, 0.1305) (multiplicity 16)
Ca (0.2226, 0.0478, 0.0000) (multiplicity 8)
Rh (0.0000, 0.5000, 0.2500) (multiplicity 4)
N (0.1096, 0.1485, 0.5000) (multiplicity 8)
N (0.1965, 0.3827, 0.3096) (multiplicity 16)

Calculated values
formation energy without anion corrections	-8.6	eV/f.u.



No. 5
# Ce4Nd3SmS8

A relaxed structure of Ce4Nd3SmS8 (PBE-GGA, Alexandria via LeMat-Bulk).

Unit cell a=8.0828 b=8.0828 c=19.7937 alpha=90.00 beta=90.00 gamma=120.00
Space group R-3m (No. 166, hexagonal axes)
Unique sites:
Ce (0.0000, 0.0000, 0.0000) (multiplicity 3)
Ce (0.0000, 0.5000, 0.0000) (multiplicity 9)
Nd (0.0000, 0.5000, 0.5000) (multiplicity 9)
Sm (0.0000, 0.0000, 0.5000) (multiplicity 3)
S (0.0000, 0.0000, 0.2511) (multiplicity 6)
S (0.0025, 0.5012, 0.2505) (multiplicity 18)

Calculated values
formation energy without anion corrections	-32.6	eV/f.u.



No. 6
# ZnCu2Tc

A relaxed structure of ZnCu2Tc (PBE-GGA, Alexandria via LeMat-Bulk).

Unit cell a=4.4708 b=4.4708 c=2.6544 alpha=90.00 beta=90.00 gamma=90.00
Space group P4/mmm (No. 123)
Unique sites:
Zn (0.0000, 0.0000, 0.0000) (multiplicity 1)
Cu (0.0000, 0.5000, 0.5000) (multiplicity 2)
Tc (0.5000, 0.5000, 0.0000) (multiplicity 1)

Calculated values
E_form	0.216	eV per atom



No. 7
# Dy2SbIr

A relaxed structure of Dy2SbIr (PBE-GGA, Alexandria via LeMat-Bulk).

Unit cell a=6.0894 b=4.2783 c=8.1209 alpha=90.00 beta=110.86 gamma=90.00
Space group P2_1/m (No. 11)
Unique sites:
Dy (0.1659, 0.2500, 0.4000) (multiplicity 2)
Dy (0.2471, 0.7500, 0.0494) (multiplicity 2)
Sb (0.3891, 0.7500, 0.7089) (multiplicity 2)
Ir (0.1236, 0.2500, 0.7901) (multiplicity 2)

Calculated values
offset from the most stable computed form	0.000	eV/atom
formation energy without anion corrections	-3.8	eV/f.u.



No. 8
# HfSc2Ni

A relaxed structure of HfSc2Ni (PBE-GGA, Alexandria via LeMat-Bulk).

Unit cell a=6.1895 b=8.8350 c=5.9002 alpha=90.00 beta=90.00 gamma=90.00
Space group Pnma (No. 62)
Unique sites:
Hf (0.0243, 0.2500, 0.1298) (multiplicity 4)
Sc (0.1914, 0.0599, 0.6880) (multiplicity 8)
Ni (0.0931, 0.7500, 0.4595) (multiplicity 4)

Calculated values
offset from the most stable computed form	0.000	eV/atom
E_form	-0.240	eV per atom



No. 9
# Mg4Pt

A relaxed structure of Mg4Pt (PBE-GGA, Alexandria via LeMat-Bulk).

Unit cell a=5.0318 b=5.0318 c=5.0318 alpha=90.00 beta=90.00 gamma=90.00
Space group Pm-3m (No. 221)
Unique sites:
Mg (0.0000, 0.0000, 0.0000) (multiplicity 1)
Mg (0.0000, 0.5000, 0.5000) (multiplicity 3)
Pt (0.5000, 0.5000, 0.5000) (multiplicity 1)

Calculated values
E_form	-0.211	eV per atom



No. 10
# Sm2VP

A relaxed structure of Sm2VP (PBE-GGA, Alexandria via LeMat-Bulk).

Unit cell a=3.7550 b=3.7550 c=28.2432 alpha=90.00 beta=90.00 gamma=120.00
Space group R-3m (No. 166, hexagonal axes)
Unique sites:
Sm (0.0000, 0.0000, 0.1063) (multiplicity 6)
V (0.0000, 0.0000, 0.0000) (multiplicity 3)
P (0.0000, 0.0000, 0.5000) (multiplicity 3)

Calculated values
E_form	0.051	eV per atom



No. 11
# TbEuMgGe

A relaxed structure of TbEuMgGe (PBE-GGA, Alexandria via LeMat-Bulk).

Unit cell a=7.4295 b=7.4295 c=7.4295 alpha=90.00 beta=90.00 gamma=90.00
Space group F-43m (No. 216)
Unique sites:
Tb (0.0000, 0.0000, 0.0000) (multiplicity 4)
Eu (0.0000, 0.0000, 0.5000) (multiplicity 4)
Mg (0.2500, 0.2500, 0.7500) (multiplicity 4)
Ge (0.2500, 0.2500, 0.2500) (multiplicity 4)

Calculated values
E_form	-0.337	eV per atom



No. 12
# TlZnSi2

A relaxed structure of TlZnSi2 (PBE-GGA, Alexandria via LeMat-Bulk).

Unit cell a=3.8364 b=3.8364 c=10.7912 alpha=90.00 beta=90.00 gamma=90.00
Space group I4/mmm (No. 139)
Unique sites:
Tl (0.0000, 0.0000, 0.0000) (multiplicity 2)
Zn (0.0000, 0.0000, 0.5000) (multiplicity 2)
Si (0.0000, 0.5000, 0.2500) (multiplicity 4)

Calculated values
offset from the most stable computed form	0.288	eV/atom
formation energy without anion corrections	2.2	eV/f.u.



No. 13
# SmEu2Mg

A relaxed structure of SmEu2Mg (PBE-GGA, Alexandria via LeMat-Bulk).

Unit cell a=8.1905 b=8.1905 c=8.1905 alpha=90.00 beta=90.00 gamma=90.00
Space group Fm-3m (No. 225)
Unique sites:
Sm (0.0000, 0.0000, 0.0000) (multiplicity 4)
Eu (0.2500, 0.2500, 0.2500) (multiplicity 8)
Mg (0.0000, 0.0000, 0.5000) (multiplicity 4)

Calculated values
offset from the most stable computed form	0.070	eV/atom
E_form	0.096	eV per atom



No. 14
# TiNbSi2Sn

A relaxed structure of TiNbSi2Sn (PBE-GGA, Alexandria via LeMat-Bulk).

Unit cell a=4.5822 b=4.5822 c=5.1232 alpha=90.00 beta=90.00 gamma=90.00
Space group P4/mmm (No. 123)
Unique sites:
Ti (0.0000, 0.0000, 0.0000) (multiplicity 1)
Nb (0.5000, 0.5000, 0.5000) (multiplicity 1)
Si (0.0000, 0.5000, 0.0000) (multiplicity 2)
Sn (0.0000, 0.0000, 0.5000) (multiplicity 1)

Calculated values
formation energy without anion corrections	4.7	eV/f.u.



No. 15
# Mn2CuGe2

A relaxed structure of Mn2CuGe2 (PBE-GGA, Alexandria via LeMat-Bulk).

Unit cell a=7.0434 b=7.0434 c=2.7651 alpha=90.00 beta=90.00 gamma=90.00
Space group P4/mbm (No. 127)
Unique sites:
Mn (0.1353, 0.3647, 0.0000) (multiplicity 4)
Cu (0.0000, 0.0000, 0.5000) (multiplicity 2)
Ge (0.1610, 0.6610, 0.5000) (multiplicity 4)

Calculated values
offset from the most stable computed form	0.000	eV/atom
E_form	0.070	eV per atom



No. 16
# Ge3Os

A relaxed structure of Ge3Os (PBE-GGA, Alexandria via LeMat-Bulk).

Unit cell a=3.0785 b=7.9392 c=5.5184 alpha=90.00 beta=90.00 gamma=90.00
Space group Imm2 (No. 44)
Unique sites:
Ge (0.0000, 0.0000, 0.0000) (multiplicity 2)
Ge (0.0000, 0.1920, 0.3586) (multiplicity 4)
Os (0.0000, 0.5000, 0.1446) (multiplicity 2)

Calculated values
E_form	0.149	eV per atom



No. 17
# Pu2ReN

A relaxed structure of Pu2ReN (PBE-GGA, Alexandria via LeMat-Bulk).

Unit cell a=3.1375 b=3.1375 c=24.7361 alpha=90.00 beta=90.00 gamma=120.00
Space group R-3m (No. 166, hexagonal axes)
Unique sites:
Pu (0.0000, 0.0000, 0.1050) (multiplicity 6)
Re (0.0000, 0.0000, 0.0000) (multiplicity 3)
N (0.0000, 0.0000, 0.5000) (multiplicity 3)

Calculated values
formation energy without anion corrections	0.3	eV/f.u.



No. 18
# CaSm3Dy3Se8

A relaxed structure of CaSm3Dy3Se8 (PBE-GGA, Alexandria via LeMat-Bulk).

Unit cell a=8.2167 b=8.2167 c=20.2610 alpha=90.00 beta=90.00 gamma=120.00
Space group R-3m (No. 166, hexagonal axes)
Unique sites:
Ca (0.0000, 0.0000, 0.0000) (multiplicity 3)
Sm (0.0000, 0.5000, 0.5000) (multiplicity 9)
Dy (0.0000, 0.5000, 0.0000) (multiplicity 9)
Se (0.0000, 0.0000, 0.2528) (multiplicity 6)
Se (0.0072, 0.5036, 0.2510) (multiplicity 18)

Calculated values
formation energy without anion corrections	-28.1	eV/f.u.



No. 19
# Er3Rh

A relaxed structure of Er3Rh (PBE-GGA, Alexandria via LeMat-Bulk).

Unit cell a=3.5913 b=5.2413 c=10.6784 alpha=90.00 beta=90.00 gamma=90.00
Space group Immm (No. 71)
Unique sites:
Er (0.0000, 0.0000, 0.0000) (multiplicity 2)
Er (0.0000, 0.5000, 0.1995) (multiplicity 4)
Rh (0.0000, 0.0000, 0.5000) (multiplicity 2)

Calculated values
E_form	-0.480	eV per atom



No. 20
# GaNi3Sn

A relaxed structure of GaNi3Sn (PBE-GGA, Alexandria via LeMat-Bulk).

Unit cell a=12.1010 b=4.4251 c=5.1880 alpha=90.00 beta=92.69 gamma=90.00
Space group C2/m (No. 12)
Unique sites:
Ga (0.1778, 0.0000, 0.4979) (multiplicity 4)
Ni (0.0082, 0.0000, 0.2418) (multiplicity 4)
Ni (0.1363, 0.5000, 0.2922) (multiplicity 4)
Ni (0.1907, 0.0000, 0.0054) (multiplicity 4)
Sn (0.0966, 0.5000, 0.8016) (multiplicity 4)

Calculated values
offset from the most stable computed form	0.000	eV/atom
E_form	-0.149	eV per atom



No. 21
# CsReRuO6

A relaxed structure of CsReRuO6 (PBE-GGA, Alexandria via LeMat-Bulk).

Unit cell a=5.3414 b=5.3414 c=6.6316 alpha=90.00 beta=90.00 gamma=120.00
Space group P312 (No. 149)
Unique sites:
Cs (0.0000, 0.0000, 0.0000) (multiplicity 1)
Re (0.3333, 0.6667, 0.5000) (multiplicity 1)
Ru (0.6667, 0.3333, 0.5000) (multiplicity 1)
O (0.0109, 0.3997, 0.6600) (multiplicity 6)

Calculated values
formation energy without anion corrections	-12.5	eV/f.u.



No. 22
# MnIn2Pd6

A relaxed structure of MnIn2Pd6 (PBE-GGA, Alexandria via LeMat-Bulk).

Unit cell a=14.3133 b=7.4822 c=2.9472 alpha=90.00 beta=101.22 gamma=90.00
Space group C2/m (No. 12)
Unique sites:
Mn (0.0000, 0.0000, 0.0000) (multiplicity 2)
In (0.1659, 0.5000, 0.6635) (multiplicity 4)
Pd (0.0000, 0.2976, 0.5000) (multiplicity 4)
Pd (0.1642, 0.1881, 0.1626) (multiplicity 8)

Calculated values
E_form	-0.252	eV per atom



No. 23
# GdZrV4

A relaxed structure of GdZrV4 (PBE-GGA, Alexandria via LeMat-Bulk).

Unit cell a=7.4676 b=7.4676 c=7.4676 alpha=90.00 beta=90.00 gamma=90.00
Space group F-43m (No. 216)
Unique sites:
Gd (0.0000, 0.0000, 0.0000) (multiplicity 4)
Zr (0.2500, 0.2500, 0.7500) (multiplicity 4)
V (0.1249, 0.1249, 0.3751) (multiplicity 16)

Calculated values
E_form	0.238	eV per atom



No. 24
# ZnPbCl6

A relaxed structure of ZnPbCl6 (PBE-GGA, Alexandria via LeMat-Bulk).

Unit cell a=6.4699 b=12.1975 c=6.4704 alpha=90.00 beta=110.83 gamma=90.00
Space group C2/m (No. 12)
Unique sites:
Zn (0.0000, 0.0000, 0.0000) (multiplicity 2)
Pb (0.0000, 0.5000, 0.5000) (multiplicity 2)
Cl (0.2293, 0.1405, 0.2295) (multiplicity 8)
Cl (0.2354, 0.5000, 0.2641) (multiplicity 4)

Calculated values
formation energy without anion corrections	-5.9	eV/f.u.



Results for mass density: 13.63; 8.20; 2.50; 3.37; 6.23; 9.09; 10.73; 6.73; 3.81; 5.53; 6.61; 6.82; 5.79; 4.87; 7.72; 10.05; 16.26; 6.77; 9.99; 8.72; 5.23; 9.90; 7.21; 3.38 (in g/cm³, following the order of the records).
Results for VASP energy: -0.568; -0.582; -0.364; -0.419; -0.498; -0.349; -0.478; -0.539; -0.198; -0.437; -0.413; -0.226; -0.487; -0.413; -0.460; -0.450; -0.903; -0.421; -0.422; -0.369; -0.529; -0.393; -0.707; -0.201 (in Ry/atom, following the order of the records).